# KZrZnCu2 (GGA-PBE, optimized geometry)
# * final energy: -3.085 eV/atom
# * ΔH_f (0 K): 738 meV/atom
# * space group: P4/mmm, No. 123
data_KZrZnCu2
_chemical_formula_sum 'K1 Zr1 Zn1 Cu2'
_cell_length_a 5.1450
_cell_length_b 5.1450
_cell_length_c 5.4193
_cell_angle_alpha 90.00
_cell_angle_beta 90.00
_cell_angle_gamma 90.00
_space_group_name_H-M_alt 'P 1'
_space_group_IT_number 1
_space_group_name_Hall 'P 1'
loop_
_atom_site_label
_atom_site_type_symbol
_atom_site_fract_x
_atom_site_fract_y
_atom_site_fract_z
K1 K 0.0000 0.0000 0.0000
Zr1 Zr 0.5000 0.5000 0.5000
Zn1 Zn 0.5000 0.5000 0.0000
Cu1 Cu 0.0000 0.5000 0.5000
Cu2 Cu 0.5000 0.0000 0.5000

---

# Ca3AlSn (GGA-PBE, optimized geometry)
# * final energy: -2.658 eV/atom
# * ΔH_f (0 K): 92 meV/atom
# * energy above the lowest structure with this stoichiometry: 1.616 eV per formula unit
# * space group: Pm-3m, No. 221
data_Ca3AlSn
_chemical_formula_sum 'Ca3 Al1 Sn1'
_cell_length_a 5.9061
_cell_length_b 5.9061
_cell_length_c 5.9061
_cell_angle_alpha 90.00
_cell_angle_beta 90.00
_cell_angle_gamma 90.00
_space_group_name_H-M_alt 'P 1'
_space_group_IT_number 1
_space_group_name_Hall 'P 1'
loop_
_atom_site_label
_atom_site_type_symbol
_atom_site_fract_x
_atom_site_fract_y
_atom_site_fract_z
Ca1 Ca 0.0000 0.0000 0.5000
Ca2 Ca 0.0000 0.5000 0.0000
Ca3 Ca 0.5000 0.0000 0.0000
Al1 Al 0.5000 0.5000 0.5000
Sn1 Sn 0.0000 0.0000 0.0000

---

# Fe2W (GGA-PBE, optimized geometry)
# * final energy: -9.393 eV/atom
# * ΔH_f (0 K): 567 meV/atom
# * space group: P-62m, No. 189
data_Fe2W
_chemical_formula_sum 'Fe6 W3'
_cell_length_a 6.0554
_cell_length_b 6.0554
_cell_length_c 3.8966
_cell_angle_alpha 90.00
_cell_angle_beta 90.00
_cell_angle_gamma 120.00
_space_group_name_H-M_alt 'P 1'
_space_group_IT_number 1
_space_group_name_Hall 'P 1'
loop_
_atom_site_label
_atom_site_type_symbol
_atom_site_fract_x
_atom_site_fract_y
_atom_site_fract_z
Fe1 Fe 0.0000 0.2461 0.0000
Fe2 Fe 0.0000 0.5839 0.5000
Fe3 Fe 0.2461 0.0000 0.0000
Fe4 Fe 0.4161 0.4161 0.5000
Fe5 Fe 0.5839 0.0000 0.5000
Fe6 Fe 0.7539 0.7539 0.0000
W1 W 0.0000 0.0000 0.5000
W2 W 0.3333 0.6667 0.0000
W3 W 0.6667 0.3333 0.0000

---

# Ag2GeBi (GGA-PBE, optimized geometry)
# * final energy: -3.233 eV/atom
# * ΔH_f (0 K): 318 meV/atom
# * energy above the lowest structure with this stoichiometry: 0.643 eV per formula unit
# * space group: I-42d, No. 122
data_Ag2GeBi
_chemical_formula_sum 'Ag8 Ge4 Bi4'
_cell_length_a 7.8254
_cell_length_b 7.8254
_cell_length_c 6.0060
_cell_angle_alpha 90.00
_cell_angle_beta 90.00
_cell_angle_gamma 90.00
_space_group_name_H-M_alt 'P 1'
_space_group_IT_number 1
_space_group_name_Hall 'P 1'
loop_
_atom_site_label
_atom_site_type_symbol
_atom_site_fract_x
_atom_site_fract_y
_atom_site_fract_z
Ag1 Ag 0.2193 0.2500 0.1250
Ag2 Ag 0.2500 0.7193 0.3750
Ag3 Ag 0.2500 0.7807 0.8750
Ag4 Ag 0.2807 0.2500 0.6250
Ag5 Ag 0.7193 0.7500 0.6250
Ag6 Ag 0.7500 0.2193 0.8750
Ag7 Ag 0.7500 0.2807 0.3750
Ag8 Ag 0.7807 0.7500 0.1250
Ge1 Ge 0.0000 0.0000 0.0000
Ge2 Ge 0.0000 0.5000 0.2500
Ge3 Ge 0.5000 0.0000 0.7500
Ge4 Ge 0.5000 0.5000 0.5000
Bi1 Bi 0.0000 0.0000 0.5000
Bi2 Bi 0.0000 0.5000 0.7500
Bi3 Bi 0.5000 0.0000 0.2500
Bi4 Bi 0.5000 0.5000 0.0000

---

# La5Mo4 (GGA-PBE, optimized geometry)
# * final energy: -7.066 eV/atom
# * ΔH_f (0 K): 486 meV/atom
# * energy above the lowest structure with this stoichiometry: 0.000 eV per formula unit
# * space group: I4/mmm, No. 139
data_La5Mo4
_chemical_formula_sum 'La5 Mo4'
_cell_length_a 8.3385
_cell_length_b 8.3385
_cell_length_c 8.3385
_cell_angle_alpha 92.29
_cell_angle_beta 92.29
_cell_angle_gamma 156.95
_space_group_name_H-M_alt 'P 1'
_space_group_IT_number 1
_space_group_name_Hall 'P 1'
loop_
_atom_site_label
_atom_site_type_symbol
_atom_site_fract_x
_atom_site_fract_y
_atom_site_fract_z
La1 La 0.0000 0.0000 0.0000
La2 La 0.3299 0.3299 0.6598
La3 La 0.3299 0.6701 0.0000
La4 La 0.6701 0.3299 0.0000
La5 La 0.6701 0.6701 0.3402
Mo1 Mo 0.0000 0.3733 0.3733
Mo2 Mo 0.0000 0.6267 0.6267
Mo3 Mo 0.3733 0.0000 0.3733
Mo4 Mo 0.6267 0.0000 0.6267

---

# KTl3PdPt (GGA-PBE, optimized geometry)
# * final energy: -3.352 eV/atom
# * ΔH_f (0 K): -114 meV/atom
# * space group: Cmcm, No. 63
data_KTl3PdPt
_chemical_formula_sum 'K2 Tl6 Pd2 Pt2'
_cell_length_a 7.2465
_cell_length_b 7.2465
_cell_length_c 7.5981
_cell_angle_alpha 90.00
_cell_angle_beta 90.00
_cell_angle_gamma 115.08
_space_group_name_H-M_alt 'P 1'
_space_group_IT_number 1
_space_group_name_Hall 'P 1'
loop_
_atom_site_label
_atom_site_type_symbol
_atom_site_fract_x
_atom_site_fract_y
_atom_site_fract_z
K1 K 0.2400 0.7600 0.7500
K2 K 0.7600 0.2400 0.2500
Tl1 Tl 0.2454 0.2454 0.0000
Tl2 Tl 0.2454 0.2454 0.5000
Tl3 Tl 0.2642 0.7358 0.2500
Tl4 Tl 0.7358 0.2642 0.7500
Tl5 Tl 0.7546 0.7546 0.0000
Tl6 Tl 0.7546 0.7546 0.5000
Pd1 Pd 0.4813 0.5187 0.2500
Pd2 Pd 0.5187 0.4813 0.7500
Pt1 Pt 0.0481 0.9519 0.2500
Pt2 Pt 0.9519 0.0481 0.7500

---

# TiPb (GGA-PBE, optimized geometry)
# * final energy: -5.577 eV/atom
# * ΔH_f (0 K): 224 meV/atom
# * space group: Fm-3m, No. 225
data_TiPb
_chemical_formula_sum 'Ti4 Pb4'
_cell_length_a 5.7074
_cell_length_b 5.7074
_cell_length_c 5.7074
_cell_angle_alpha 90.00
_cell_angle_beta 90.00
_cell_angle_gamma 90.00
_space_group_name_H-M_alt 'P 1'
_space_group_IT_number 1
_space_group_name_Hall 'P 1'
loop_
_atom_site_label
_atom_site_type_symbol
_atom_site_fract_x
_atom_site_fract_y
_atom_site_fract_z
Ti1 Ti 0.0000 0.0000 0.0000
Ti2 Ti 0.0000 0.5000 0.5000
Ti3 Ti 0.5000 0.0000 0.5000
Ti4 Ti 0.5000 0.5000 0.0000
Pb1 Pb 0.0000 0.0000 0.5000
Pb2 Pb 0.0000 0.5000 0.0000
Pb3 Pb 0.5000 0.0000 0.0000
Pb4 Pb 0.5000 0.5000 0.5000

---

# La2Er4Tm (GGA-PBE, optimized geometry)
# * final energy: -4.471 eV/atom
# * ΔH_f (0 K): 183 meV/atom
# * space group: C2, No. 5
data_La2Er4Tm
_chemical_formula_sum 'La4 Er8 Tm2'
_cell_length_a 8.9228
_cell_length_b 8.9228
_cell_length_c 11.5991
_cell_angle_alpha 130.53
_cell_angle_beta 130.53
_cell_angle_gamma 44.44
_space_group_name_H-M_alt 'P 1'
_space_group_IT_number 1
_space_group_name_Hall 'P 1'
loop_
_atom_site_label
_atom_site_type_symbol
_atom_site_fract_x
_atom_site_fract_y
_atom_site_fract_z
La1 La 0.0000 0.0000 0.0000
La2 La 0.1025 0.3426 0.9726
La3 La 0.6574 0.8975 0.0274
La4 La 0.9980 0.0020 0.5000
Er1 Er 0.2162 0.7738 0.7444
Er2 Er 0.2262 0.7838 0.2556
Er3 Er 0.3624 0.3340 0.8449
Er4 Er 0.3629 0.3353 0.3525
Er5 Er 0.6619 0.3328 0.7485
Er6 Er 0.6647 0.6371 0.6475
Er7 Er 0.6660 0.6375 0.1551
Er8 Er 0.6672 0.3381 0.2515
Tm1 Tm 0.1104 0.3447 0.4776
Tm2 Tm 0.6553 0.8896 0.5224

---

# NdEuAlZn (GGA-PBE, optimized geometry)
# * final energy: -5.286 eV/atom
# * ΔH_f (0 K): -271 meV/atom
# * space group: F-43m, No. 216
data_NdEuAlZn
_chemical_formula_sum 'Nd4 Eu4 Al4 Zn4'
_cell_length_a 7.4924
_cell_length_b 7.4924
_cell_length_c 7.4924
_cell_angle_alpha 90.00
_cell_angle_beta 90.00
_cell_angle_gamma 90.00
_space_group_name_H-M_alt 'P 1'
_space_group_IT_number 1
_space_group_name_Hall 'P 1'
loop_
_atom_site_label
_atom_site_type_symbol
_atom_site_fract_x
_atom_site_fract_y
_atom_site_fract_z
Nd1 Nd 0.0000 0.0000 0.0000
Nd2 Nd 0.0000 0.5000 0.5000
Nd3 Nd 0.5000 0.0000 0.5000
Nd4 Nd 0.5000 0.5000 0.0000
Eu1 Eu 0.0000 0.0000 0.5000
Eu2 Eu 0.0000 0.5000 0.0000
Eu3 Eu 0.5000 0.0000 0.0000
Eu4 Eu 0.5000 0.5000 0.5000
Al1 Al 0.2500 0.2500 0.7500
Al2 Al 0.2500 0.7500 0.2500
Al3 Al 0.7500 0.2500 0.2500
Al4 Al 0.7500 0.7500 0.7500
Zn1 Zn 0.2500 0.2500 0.2500
Zn2 Zn 0.2500 0.7500 0.7500
Zn3 Zn 0.7500 0.2500 0.7500
Zn4 Zn 0.7500 0.7500 0.2500

---

# BaAg2GeF8 (GGA-PBE, optimized geometry)
# * final energy: -4.584 eV/atom
# * formation energy from raw total energies: -2.32 eV/atom
# * space group: P2/m, No. 10
data_BaAg2GeF8
_chemical_formula_sum 'Ba1 Ag2 Ge1 F8'
_cell_length_a 4.6185
_cell_length_b 7.6337
_cell_length_c 5.6428
_cell_angle_alpha 90.00
_cell_angle_beta 97.43
_cell_angle_gamma 90.00
_space_group_name_H-M_alt 'P 1'
_space_group_IT_number 1
_space_group_name_Hall 'P 1'
loop_
_atom_site_label
_atom_site_type_symbol
_atom_site_fract_x
_atom_site_fract_y
_atom_site_fract_z
Ba1 Ba 0.0000 0.0000 0.0000
Ag1 Ag 0.5000 0.2548 0.5000
Ag2 Ag 0.5000 0.7452 0.5000
Ge1 Ge 0.0000 0.5000 0.0000
F1 F 0.1362 0.3238 0.8201
F2 F 0.1362 0.6762 0.8201
F3 F 0.3339 0.5000 0.2138
F4 F 0.4730 0.0000 0.7453
F5 F 0.5270 0.0000 0.2547
F6 F 0.6661 0.5000 0.7862
F7 F 0.8638 0.3238 0.1799
F8 F 0.8638 0.6762 0.1799

---

# BaEuAgAu (GGA-PBE, optimized geometry)
# * final energy: -5.040 eV/atom
# * ΔH_f (0 K): -459 meV/atom
# * space group: F-43m, No. 216
data_BaEuAgAu
_chemical_formula_sum 'Ba4 Eu4 Ag4 Au4'
_cell_length_a 7.8750
_cell_length_b 7.8750
_cell_length_c 7.8750
_cell_angle_alpha 90.00
_cell_angle_beta 90.00
_cell_angle_gamma 90.00
_space_group_name_H-M_alt 'P 1'
_space_group_IT_number 1
_space_group_name_Hall 'P 1'
loop_
_atom_site_label
_atom_site_type_symbol
_atom_site_fract_x
_atom_site_fract_y
_atom_site_fract_z
Ba1 Ba 0.0000 0.0000 0.0000
Ba2 Ba 0.0000 0.5000 0.5000
Ba3 Ba 0.5000 0.0000 0.5000
Ba4 Ba 0.5000 0.5000 0.0000
Eu1 Eu 0.0000 0.0000 0.5000
Eu2 Eu 0.0000 0.5000 0.0000
Eu3 Eu 0.5000 0.0000 0.0000
Eu4 Eu 0.5000 0.5000 0.5000
Ag1 Ag 0.2500 0.2500 0.2500
Ag2 Ag 0.2500 0.7500 0.7500
Ag3 Ag 0.7500 0.2500 0.7500
Ag4 Ag 0.7500 0.7500 0.2500
Au1 Au 0.2500 0.2500 0.7500
Au2 Au 0.2500 0.7500 0.2500
Au3 Au 0.7500 0.2500 0.2500
Au4 Au 0.7500 0.7500 0.7500

---

# Ag3Pb4Cl12 (GGA-PBE, optimized geometry)
# * final energy: -3.249 eV/atom
# * formation energy from raw total energies: -0.85 eV/atom
# * space group: Im-3, No. 204
data_Ag3Pb4Cl12
_chemical_formula_sum 'Ag3 Pb4 Cl12'
_cell_length_a 9.2341
_cell_length_b 9.2341
_cell_length_c 9.2341
_cell_angle_alpha 109.47
_cell_angle_beta 109.47
_cell_angle_gamma 109.47
_space_group_name_H-M_alt 'P 1'
_space_group_IT_number 1
_space_group_name_Hall 'P 1'
loop_
_atom_site_label
_atom_site_type_symbol
_atom_site_fract_x
_atom_site_fract_y
_atom_site_fract_z
Ag1 Ag 0.0000 0.5000 0.5000
Ag2 Ag 0.5000 0.0000 0.5000
Ag3 Ag 0.5000 0.5000 0.0000
Pb1 Pb 0.0000 0.0000 0.5000
Pb2 Pb 0.0000 0.5000 0.0000
Pb3 Pb 0.5000 0.0000 0.0000
Pb4 Pb 0.5000 0.5000 0.5000
Cl1 Cl 0.1551 0.8293 0.3257
Cl2 Cl 0.1707 0.3257 0.4964
Cl3 Cl 0.1707 0.6743 0.8449
Cl4 Cl 0.3257 0.1551 0.8293
Cl5 Cl 0.3257 0.4964 0.1707
Cl6 Cl 0.4964 0.1707 0.3257
Cl7 Cl 0.5036 0.8293 0.6743
Cl8 Cl 0.6743 0.5036 0.8293
Cl9 Cl 0.6743 0.8449 0.1707
Cl10 Cl 0.8293 0.3257 0.1551
Cl11 Cl 0.8293 0.6743 0.5036
Cl12 Cl 0.8449 0.1707 0.6743